Arrangement i

A relaxed structure of Tc2WCl. Source: Alexandria via LeMat-Bulk, functional PBE.

Properties
Crystal system ... orthorhombic
Total moment ... 0.0 μB per formula unit
Mass density ... 8560 kg/m³

extended XYZ file:
```
4
Lattice="2.9754 0.0000 0.0000 0.0000 3.8790 0.0000 0.0000 0.0000 6.9799" Properties=species:S:1:pos:R:3 pbc="T T T"
W 0.0000 0.0000 2.6649
Cl 1.4877 1.9395 5.9780
Tc 0.0000 0.0000 0.3715
Tc 1.4877 1.9395 1.4553
```



Arrangement ii

A relaxed structure of Tc2WCl. Source: Alexandria via LeMat-Bulk, functional PBE.

Properties
Crystal system ... orthorhombic
Total moment ... 0.0 μB per formula unit
Mass density ... 11717 kg/m³

extended XYZ file:
```
4
Lattice="5.2641 -0.0007 0.0015 2.5729 4.5924 -0.0015 -3.3752 -3.2232 2.4351" Properties=species:S:1:pos:R:3 pbc="T T T"
Tc 0.1351 0.0792 0.0000
Tc 2.9618 -0.4299 1.2183
W 3.7266 2.1835 0.0000
Cl 1.5567 1.8318 1.2168
```



Arrangement iii

A relaxed structure of Tc2WCl. Source: Alexandria via LeMat-Bulk, functional PBE.

Properties
Crystal system ... monoclinic
Total moment ... 0.0 μB per formula unit
Mass density ... 11302 kg/m³

extended XYZ file:
```
4
Lattice="5.1048 0.0148 0.0030 -2.2632 4.5757 0.0030 0.6349 1.0257 2.6100" Properties=species:S:1:pos:R:3 pbc="T T T"
Tc 0.0000 0.0000 0.0000
Tc 1.4208 2.2952 0.0030
W 2.8698 0.5202 1.3065
Cl -0.8142 2.8007 1.3065
```



Arrangement iv

A relaxed structure of Tc2WCl. Source: Alexandria via LeMat-Bulk, functional PBE.

Properties
Crystal system ... monoclinic
Total moment ... 0.0 μB per formula unit
Mass density ... 11239 kg/m³

extended XYZ file:
```
4
Lattice="-3.1843 -0.4842 2.4483 0.3468 -2.8356 -0.1096 3.3718 -1.1056 4.1667" Properties=species:S:1:pos:R:3 pbc="T T T"
Tc 0.3401 -2.4934 -0.0507
Tc -0.7605 -1.2694 2.1026
Cl 1.2475 -2.8939 4.3930
W 1.9134 -2.5748 1.9794
```



Stability ranking, top entry: arrangement iv; the second entry is 67 meV per atom less favorable.



Arrangement i

A relaxed structure of Tc2WCl. Source: Alexandria via LeMat-Bulk, functional PBE.

Properties
Crystal system ... orthorhombic
Total moment ... 0.0 μB per formula unit
Mass density ... 10986 kg/m³

extended XYZ file:
```
4
Lattice="-2.1305 -0.8339 1.6540 -0.1312 -0.7016 -2.7314 4.3009 -7.5514 1.7330" Properties=species:S:1:pos:R:3 pbc="T T T"
Tc -0.0639 -2.6411 -0.1088
Tc 0.0272 -0.0478 0.0110
Cl 2.0830 -6.4105 0.7563
W 2.1433 -3.7631 0.8636
```



Arrangement ii

A relaxed structure of Tc2WCl. Source: Alexandria via LeMat-Bulk, functional PBE.

Properties
Crystal system ... monoclinic
Total moment ... 0.0 μB per formula unit
Mass density ... 11467 kg/m³

extended XYZ file:
```
4
Lattice="-3.6623 0.3504 -1.6978 0.3319 -2.5951 -1.2515 -1.9298 -3.6486 3.4097" Properties=species:S:1:pos:R:3 pbc="T T T"
Tc -1.6335 -5.8749 2.3112
Tc -0.7633 -3.4908 0.9261
Cl -3.0295 -4.5077 0.7697
W -2.2306 -1.3858 -0.3094
```



Arrangement iii

A relaxed structure of Tc2WCl. Source: Alexandria via LeMat-Bulk, functional PBE.

Properties
Crystal system ... tetragonal
Total moment ... 0.0 μB per formula unit
Mass density ... 8347 kg/m³

extended XYZ file:
```
8
Lattice="5.5394 0.0000 0.0000 0.0000 5.5394 0.0000 2.7697 2.7697 5.3849" Properties=species:S:1:pos:R:3 pbc="T T T"
Cl 2.7697 2.7697 0.0000
Cl 2.7697 5.5394 2.6925
Tc 4.1546 4.2605 4.0387
Tc 4.0486 1.3849 1.3462
Tc 1.4908 4.1546 1.3462
Tc 6.9243 6.8183 4.0387
W 5.5394 2.7697 2.6925
W 0.0000 0.0000 0.0000
```



Stability ranking, top entry: arrangement i; the second entry is 29 meV per atom less favorable.



Arrangement i

A relaxed structure of TcWCl3. Source: Alexandria via LeMat-Bulk, functional PBE.

Properties
Crystal system ... cubic
Total moment ... 2.4 μB per formula unit
Mass density ... 5538 kg/m³

extended XYZ file:
```
5
Lattice="-1.1933 -4.7114 0.4678 1.1344 0.1839 4.7455 -4.5967 1.2685 1.0497" Properties=species:S:1:pos:R:3 pbc="T T T"
Tc 0.0000 0.0000 0.0000
Cl -0.5966 -2.3557 0.2339
Cl -2.2983 0.6342 0.5249
Cl 0.5672 0.0919 2.3727
W -2.3278 -1.6295 3.1315
```



Arrangement ii

A relaxed structure of TcWCl3. Source: Alexandria via LeMat-Bulk, functional PBE.

Properties
Crystal system ... cubic
Total moment ... 7.1 μB per formula unit
Mass density ... 5460 kg/m³

extended XYZ file:
```
5
Lattice="-0.2325 4.8844 -0.3932 -3.8428 -0.4260 -3.0195 -3.0405 0.1648 3.8463" Properties=species:S:1:pos:R:3 pbc="T T T"
Tc -3.5580 2.3117 0.2168
Cl -0.1163 2.4422 -0.1966
Cl -1.9214 -0.2130 -1.5098
Cl -1.5203 0.0824 1.9232
W 0.0000 0.0000 0.0000
```



Stability ranking, top entry: arrangement ii; the second entry is 152 meV per atom less favorable.